Below is La4Sm15Al after structural relaxation, with properties calculated at the GGA-PBE level.

Cell and atoms, written as extended XYZ:
```
20
Lattice="5.087 0.000 0.000 0.000 5.087 0.000 0.000 0.000 25.772" Properties=species:S:1:pos:R:3 pbc="T T T"
La 0.000 0.000 5.023
La 0.000 0.000 10.269
La 0.000 0.000 15.503
La 0.000 0.000 20.749
Sm 2.544 2.544 0.000
Sm 2.544 2.544 4.950
Sm 2.544 2.544 10.242
Sm 2.544 2.544 15.530
Sm 2.544 2.544 20.822
Sm 2.544 0.000 2.348
Sm 2.544 0.000 7.623
Sm 2.544 0.000 12.886
Sm 2.544 0.000 18.149
Sm 2.544 0.000 23.424
Sm 0.000 2.544 2.348
Sm 0.000 2.544 7.623
Sm 0.000 2.544 12.886
Sm 0.000 2.544 18.149
Sm 0.000 2.544 23.424
Al 0.000 0.000 0.000
```

Computed properties:
Space-group type: P4/mmm, No. 123
Raw total energy: -94.30 eV per cell
Energy of formation from the pure elements: -0.1 eV per formula unit
DOS at the Fermi energy: 1.350 states/eV per atom

---

Below is LaSm4Al5 after structural relaxation, with properties calculated at the GGA-PBE level.

Cell and atoms, written as extended XYZ:
```
10
Lattice="3.705 0.000 0.000 0.000 3.705 0.000 0.000 0.000 18.505" Properties=species:S:1:pos:R:3 pbc="T T T"
La 0.000 0.000 0.000
Sm 0.000 0.000 3.782
Sm 0.000 0.000 7.428
Sm 0.000 0.000 11.077
Sm 0.000 0.000 14.723
Al 1.853 1.853 1.993
Al 1.853 1.853 5.602
Al 1.853 1.853 9.253
Al 1.853 1.853 12.903
Al 1.853 1.853 16.512
```

Computed properties:
Space-group type: P4/mmm, No. 123
Raw total energy: -46.23 eV per cell
Energy of formation from the pure elements: -3.7 eV per formula unit
DOS at the Fermi energy: 0.379 states/eV per atom